B2AuBr | PBE | optimized geometry

The structure in CIF format:
```
data_B2AuBr
_space_group_name_H-M_alt 'P 1'
_space_group_IT_number 1
_cell_length_a 4.4911
_cell_length_b 4.4911
_cell_length_c 4.4911
_cell_angle_alpha 60.00
_cell_angle_beta 60.00
_cell_angle_gamma 60.00
loop_
_space_group_symop_operation_xyz
'x,y,z'
loop_
_atom_site_label
_atom_site_type_symbol
_atom_site_fract_x
_atom_site_fract_y
_atom_site_fract_z
B1 B 0.2500 0.2500 0.2500
B2 B 0.7500 0.7500 0.7500
Au1 Au 0.0000 0.0000 0.0000
Br1 Br 0.5000 0.5000 0.5000
```

Summary:
The space group is No. 225. For the calculated total energy, the calculation gives -2.596 eV per atom. Its crystal system is cubic. For the polymorph energy (0 for the lowest one), the calculation gives 0.858 eV/atom.

=====

ScCoRe2 | PBE | optimized geometry

The structure in CIF format:
```
data_ScCoRe2
_space_group_name_H-M_alt 'P 1'
_space_group_IT_number 1
_cell_length_a 3.1110
_cell_length_b 3.1110
_cell_length_c 6.3883
_cell_angle_alpha 90.00
_cell_angle_beta 90.00
_cell_angle_gamma 90.00
loop_
_space_group_symop_operation_xyz
'x,y,z'
loop_
_atom_site_label
_atom_site_type_symbol
_atom_site_fract_x
_atom_site_fract_y
_atom_site_fract_z
Sc1 Sc 0.0000 0.0000 0.0000
Co1 Co 0.0000 0.0000 0.5000
Re1 Re 0.5000 0.5000 0.3022
Re2 Re 0.5000 0.5000 0.6978
```

Summary:
The space group is No. 123. For the calculated total energy, the calculation gives -9.392 eV per atom. Its crystal system is tetragonal. For the polymorph energy (0 for the lowest one), the calculation gives 0.268 eV/atom.

=====

Ca3Ho3TmS8 | PBE | optimized geometry

The structure in CIF format:
```
data_Ca3Ho3TmS8
_space_group_name_H-M_alt 'P 1'
_space_group_IT_number 1
_cell_length_a 7.9496
_cell_length_b 7.9496
_cell_length_c 7.9496
_cell_angle_alpha 59.06
_cell_angle_beta 59.06
_cell_angle_gamma 59.06
loop_
_space_group_symop_operation_xyz
'x,y,z'
loop_
_atom_site_label
_atom_site_type_symbol
_atom_site_fract_x
_atom_site_fract_y
_atom_site_fract_z
Ca1 Ca 0.0000 0.5000 0.5000
Ca2 Ca 0.5000 0.0000 0.5000
Ca3 Ca 0.5000 0.5000 0.0000
Ho1 Ho 0.0000 0.0000 0.5000
Ho2 Ho 0.0000 0.5000 0.0000
Ho3 Ho 0.5000 0.0000 0.0000
Tm1 Tm 0.5000 0.5000 0.5000
S1 S 0.2476 0.2476 0.2476
S2 S 0.2491 0.7434 0.7434
S3 S 0.2566 0.2566 0.7509
S4 S 0.2566 0.7509 0.2566
S5 S 0.7434 0.2491 0.7434
S6 S 0.7434 0.7434 0.2491
S7 S 0.7509 0.2566 0.2566
S8 S 0.7524 0.7524 0.7524
```

Summary:
The space group is No. 166. For the calculated total energy, the calculation gives -5.907 eV per atom. Its crystal system is trigonal.

=====

Cd3SbPd4 | PBE | optimized geometry

The structure in CIF format:
```
data_Cd3SbPd4
_space_group_name_H-M_alt 'P 1'
_space_group_IT_number 1
_cell_length_a 7.3192
_cell_length_b 7.2510
_cell_length_c 4.7005
_cell_angle_alpha 71.97
_cell_angle_beta 70.39
_cell_angle_gamma 37.64
loop_
_space_group_symop_operation_xyz
'x,y,z'
loop_
_atom_site_label
_atom_site_type_symbol
_atom_site_fract_x
_atom_site_fract_y
_atom_site_fract_z
Cd1 Cd 0.0000 0.0000 0.0000
Cd2 Cd 0.2474 0.2474 0.7526
Cd3 Cd 0.7526 0.7526 0.2474
Sb1 Sb 0.5000 0.5000 0.5000
Pd1 Pd 0.1208 0.1208 0.3792
Pd2 Pd 0.3792 0.3792 0.1208
Pd3 Pd 0.6208 0.6208 0.8792
Pd4 Pd 0.8792 0.8792 0.6208
```

Summary:
The space group is No. 69. For the calculated total energy, the calculation gives -3.846 eV per atom. Its crystal system is orthorhombic.